# 1
An optimized crystal structure of Ba2InRuO6. Source: Alexandria via LeMat-Bulk, functional PBE.

Cell: 5.9388 5.9388 14.7231 Å, 90.00 90.00 120.00°
Space group P-3m1 (No. 164)
Asymmetric unit:
Ba1 0.0000 0.0000 0.2476 x2
Ba2 0.3333 0.6667 0.0954 x2
Ba3 0.3333 0.6667 0.4039 x2
In1 0.0000 0.0000 0.0000 x1
In2 0.3333 0.6667 0.6521 x2
Ru1 0.0000 0.0000 0.5000 x1
Ru2 0.3333 0.6667 0.8433 x2
O1 0.0257 0.5128 0.7574 x6
O2 0.1563 0.3126 0.5781 x6
O3 0.1724 0.3447 0.9154 x6

Calculated total energy in eV per atom: -6.42


# 2
An optimized crystal structure of Y2ErS3. Source: Alexandria via LeMat-Bulk, functional PBE.

Cell: 3.910 5.506 11.690 Å, 90.00 90.00 90.00°
Space group Immm (No. 71)
Asymmetric unit:
Y1 0.000 0.000 0.169 x4
Er1 0.000 0.000 0.500 x2
S1 0.000 0.500 0.163 x4
S2 0.000 0.500 0.500 x2

DOS at the Fermi energy in states/eV per atom: 0.40
Calculated total energy in eV per atom: -6.96


# 3
An optimized crystal structure of Sr2CdNiPb. Source: Alexandria via LeMat-Bulk, functional PBE.

Cell: 5.810 5.810 4.905 Å, 90.00 90.00 90.00°
Space group P4/mmm (No. 123)
Asymmetric unit:
Sr1 0.000 0.500 0.000 x2
Cd1 0.000 0.000 0.500 x1
Ni1 0.500 0.500 0.000 x1
Pb1 0.500 0.500 0.500 x1

E_form in kcal/mol of atoms: -4.65
DOS at the Fermi energy in states/eV per atom: 0.60
Calculated total energy in eV per atom: -2.96


# 4
An optimized crystal structure of Hf2ScFe. Source: Alexandria via LeMat-Bulk, functional PBE.

Cell: 6.321 8.669 5.728 Å, 90.00 90.00 90.00°
Space group Pnma (No. 62)
Asymmetric unit:
Hf1 0.175 0.061 0.173 x8
Sc1 0.034 0.250 0.631 x4
Fe1 0.113 0.750 0.930 x4

E_form in kcal/mol of atoms: -2.69
DOS at the Fermi energy in states/eV per atom: 0.89
Calculated total energy in eV per atom: -8.79